1.
The following is a PBE with a Hubbard U calculation of an optimized crystal structure of CaV2SnF, from Alexandria via LeMat-Bulk.

Energy ... -2.66 eV/atom
Space group ... No. 123
Total magnetization ... 0.8 μB/cell

Structure (CIF):
```
data_CaV2SnF
_chemical_formula_sum 'Ca1 V2 Sn1 F1'
_cell_length_a 5.551
_cell_length_b 5.551
_cell_length_c 5.692
_cell_angle_alpha 90.00
_cell_angle_beta 90.00
_cell_angle_gamma 90.00
_space_group_name_H-M_alt 'P 1'
_space_group_IT_number 1
_space_group_name_Hall 'P 1'
loop_
_atom_site_label
_atom_site_type_symbol
_atom_site_fract_x
_atom_site_fract_y
_atom_site_fract_z
_atom_site_occupancy
Ca1 Ca 0.000 0.000 0.000 1
V1 V 0.000 0.500 0.000 1
V2 V 0.500 0.000 0.000 1
Sn1 Sn 0.000 0.000 0.500 1
F1 F 0.500 0.500 0.500 1
```

---

2.
The following is a PBE with a Hubbard U calculation of an optimized crystal structure of CaVSnF6, from Alexandria via LeMat-Bulk.

Energy ... -5.66 eV/atom
Space group ... No. 163
Total magnetization ... 6.0 μB/cell

Structure (CIF):
```
data_CaVSnF6
_chemical_formula_sum 'Ca2 V2 Sn2 F12'
_cell_length_a 5.802
_cell_length_b 5.802
_cell_length_c 10.005
_cell_angle_alpha 90.00
_cell_angle_beta 90.00
_cell_angle_gamma 120.00
_space_group_name_H-M_alt 'P 1'
_space_group_IT_number 1
_space_group_name_Hall 'P 1'
loop_
_atom_site_label
_atom_site_type_symbol
_atom_site_fract_x
_atom_site_fract_y
_atom_site_fract_z
_atom_site_occupancy
Ca1 Ca 0.333 0.667 0.250 1
Ca2 Ca 0.667 0.333 0.750 1
V1 V 0.333 0.667 0.750 1
V2 V 0.667 0.333 0.250 1
Sn1 Sn 0.000 0.000 0.000 1
Sn2 Sn 0.000 0.000 0.500 1
F1 F 0.019 0.359 0.636 1
F2 F 0.019 0.660 0.864 1
F3 F 0.340 0.359 0.864 1
F4 F 0.340 0.981 0.636 1
F5 F 0.359 0.019 0.136 1
F6 F 0.359 0.340 0.364 1
F7 F 0.641 0.660 0.636 1
F8 F 0.641 0.981 0.864 1
F9 F 0.660 0.019 0.364 1
F10 F 0.660 0.641 0.136 1
F11 F 0.981 0.340 0.136 1
F12 F 0.981 0.641 0.364 1
```

---

3.
The following is a PBE with a Hubbard U calculation of an optimized crystal structure of CaSn2WF, from Alexandria via LeMat-Bulk.

Energy ... -3.81 eV/atom
Space group ... No. 123
Total magnetization ... 4.1 μB/cell

Structure (CIF):
```
data_CaSn2WF
_chemical_formula_sum 'Ca1 Sn2 W1 F1'
_cell_length_a 6.020
_cell_length_b 6.020
_cell_length_c 4.045
_cell_angle_alpha 90.00
_cell_angle_beta 90.00
_cell_angle_gamma 90.00
_space_group_name_H-M_alt 'P 1'
_space_group_IT_number 1
_space_group_name_Hall 'P 1'
loop_
_atom_site_label
_atom_site_type_symbol
_atom_site_fract_x
_atom_site_fract_y
_atom_site_fract_z
_atom_site_occupancy
Ca1 Ca 0.000 0.000 0.000 1
Sn1 Sn 0.000 0.500 0.000 1
Sn2 Sn 0.500 0.000 0.000 1
W1 W 0.500 0.500 0.500 1
F1 F 0.000 0.000 0.500 1
```

---

Repeat the first record exactly.
The following is a PBE with a Hubbard U calculation of an optimized crystal structure of CaV2SnF, from Alexandria via LeMat-Bulk.

Energy ... -2.66 eV/atom
Space group ... No. 123
Total magnetization ... 0.8 μB/cell

Structure (CIF):
```
data_CaV2SnF
_chemical_formula_sum 'Ca1 V2 Sn1 F1'
_cell_length_a 5.551
_cell_length_b 5.551
_cell_length_c 5.692
_cell_angle_alpha 90.00
_cell_angle_beta 90.00
_cell_angle_gamma 90.00
_space_group_name_H-M_alt 'P 1'
_space_group_IT_number 1
_space_group_name_Hall 'P 1'
loop_
_atom_site_label
_atom_site_type_symbol
_atom_site_fract_x
_atom_site_fract_y
_atom_site_fract_z
_atom_site_occupancy
Ca1 Ca 0.000 0.000 0.000 1
V1 V 0.000 0.500 0.000 1
V2 V 0.500 0.000 0.000 1
Sn1 Sn 0.000 0.000 0.500 1
F1 F 0.500 0.500 0.500 1
```